## SrAgGe2S6 (PBE-GGA)

Data for a relaxed SrAgGe2S6 crystal.

```
20
Lattice="6.6844 -6.0109 0.0000 6.6844 6.0109 0.0000 -2.3669 0.0000 6.4183" Properties=species:S:1:pos:R:3 pbc="T T T"
Sr 4.9092 4.3885 4.8137
Sr 6.0927 -4.3885 1.6046
Ag 6.0927 2.8455 1.6046
Ag 4.9092 -2.8455 4.8137
Ge 2.0329 0.8828 5.1071
Ge 3.2164 -0.8828 1.8979
Ge 7.7855 0.8828 4.5203
Ge 8.9690 -0.8828 1.3112
S -0.0609 0.8925 4.4140
S 2.6007 2.8984 5.8736
S 1.1226 -0.8925 1.2048
S 3.6223 0.7242 3.4596
S 7.2177 2.8984 3.7539
S 4.8058 -0.7242 0.2505
S 6.1961 0.7242 6.1678
S 3.7842 -2.8984 2.6644
S 7.3796 -0.7242 2.9587
S 9.8793 0.8925 5.2134
S 8.4011 -2.8984 0.5447
S 11.0628 -0.8925 2.0043
```

Calculated values
E_form (uncorrected): -0.526 eV per atom
E_tot: -87.6 eV for the cell shown